No. 1
Here is a relaxed FeHg3Au crystal from Alexandria. Energies are from PBE-GGA.

The density of states at the Fermi level comes out at 1.12 states/eV/atom. The offset from the most stable computed form comes out at 204 meV/atom. As for the calculated density: 9.11 g cm⁻³. The energy relative to the elements comes out at 0.821 eV/atom.

The space group is Pm-3m (No. 221) and the conventional cell measures 5.381, 5.381 and 5.381 Å, with angles of 90.00, 90.00 and 90.00 degrees. Symmetry generates all atoms from Fe at (0.000, 0.000, 0.000), Hg at (0.000, 0.500, 0.500) and Au at (0.500, 0.500, 0.500).

No. 2
Here is a relaxed MnBeTlTe3 crystal from Alexandria. Energies are from PBE-GGA.

The density of states at the Fermi level comes out at 0.32 states/eV/atom. As for the calculated density: 6.28 g cm⁻³. For the uncorrected formation energy, the calculation gives -1.36 eV/f.u.

The space group is P2_1/m (No. 11) and the conventional cell measures 9.222, 4.017 and 9.916 Å, with angles of 90.00, 110.34 and 90.00 degrees. Symmetry generates all atoms from Mn at (0.172, 0.250, 0.145), Be at (0.425, 0.750, 0.409), Tl at (0.294, 0.750, 0.774), Te at (0.036, 0.250, 0.851), Te at (0.290, 0.250, 0.460) and Te at (0.385, 0.750, 0.151).

No. 3
Here is a relaxed Tl3Sn3Hg crystal from Alexandria. Energies are from PBE-GGA.

The density of states at the Fermi level comes out at 1.21 states/eV/atom. The offset from the most stable computed form comes out at 331 meV/atom. As for the calculated density: 6.72 g cm⁻³. The energy relative to the elements comes out at 0.355 eV/atom.

The space group is Pm-3n (No. 223) and the conventional cell measures 8.332, 8.332 and 8.332 Å, with angles of 90.00, 90.00 and 90.00 degrees. Symmetry generates all atoms from Tl at (0.000, 0.250, 0.500), Sn at (0.000, 0.500, 0.250) and Hg at (0.000, 0.000, 0.000).

No. 4
Here is a relaxed BaBeRu crystal from Alexandria. Energies are from PBE-GGA.

The density of states at the Fermi level comes out at 0.56 states/eV/atom. The offset from the most stable computed form comes out at 1508 meV/atom. As for the calculated density: 5.61 g cm⁻³. The energy relative to the elements comes out at 1.786 eV/atom.

The space group is F-43m (No. 216) and the conventional cell measures 6.642, 6.642 and 6.642 Å, with angles of 90.00, 90.00 and 90.00 degrees. Symmetry generates all atoms from Ba at (0.000, 0.000, 0.000), Be at (0.250, 0.250, 0.250) and Ru at (0.250, 0.250, 0.750).

No. 5
Here is a relaxed K2BeCu crystal from Alexandria. Energies are from PBE-GGA.

The density of states at the Fermi level comes out at 0.49 states/eV/atom. As for the calculated density: 1.97 g cm⁻³. The energy relative to the elements comes out at 0.834 eV/atom.

The space group is P4/mmm (No. 123) and the conventional cell measures 5.584, 5.584 and 4.069 Å, with angles of 90.00, 90.00 and 90.00 degrees. Symmetry generates all atoms from K at (0.000, 0.500, 0.000), Be at (0.000, 0.000, 0.500) and Cu at (0.500, 0.500, 0.500).

No. 6
Here is a relaxed GdMgAl2 crystal from Alexandria. Energies are from PBE-GGA.

The density of states at the Fermi level comes out at 0.69 states/eV/atom. The offset from the most stable computed form comes out at 104 meV/atom. As for the calculated density: 4.55 g cm⁻³. The energy relative to the elements comes out at -0.209 eV/atom.

The space group is P4/mmm (No. 123) and the conventional cell measures 3.428, 3.428 and 7.320 Å, with angles of 90.00, 90.00 and 90.00 degrees. Symmetry generates all atoms from Gd at (0.000, 0.000, 0.000), Mg at (0.000, 0.000, 0.500) and Al at (0.500, 0.500, 0.283).

No. 7
Here is a relaxed SrTa2Hg crystal from Alexandria. Energies are from PBE-GGA.

The density of states at the Fermi level comes out at 1.12 states/eV/atom. As for the calculated density: 11.89 g cm⁻³. The energy relative to the elements comes out at 0.935 eV/atom.

The space group is Pmmm (No. 47) and the conventional cell measures 2.877, 5.267 and 5.990 Å, with angles of 90.00, 90.00 and 90.00 degrees. Symmetry generates all atoms from Sr at (0.000, 0.000, 0.000), Ta at (0.500, 0.500, 0.249) and Hg at (0.000, 0.000, 0.500).

No. 8
Here is a relaxed SrLa3 crystal from Alexandria. Energies are from PBE-GGA.

The density of states at the Fermi level comes out at 2.06 states/eV/atom. As for the calculated density: 5.14 g cm⁻³. The energy relative to the elements comes out at 0.197 eV/atom.

The space group is Fm-3m (No. 225) and the conventional cell measures 8.671, 8.671 and 8.671 Å, with angles of 90.00, 90.00 and 90.00 degrees. Symmetry generates all atoms from Sr at (0.000, 0.000, 0.000), La at (0.000, 0.000, 0.500) and La at (0.250, 0.250, 0.250).

What is the calculated density in the fourth record? 5.61 g cm⁻³